(i)
! PBE Cr2MoOs, optimized geometry; values from VASP
&SYSTEM
  ibrav = 0, nat = 16, ntyp = 3
/
ATOMIC_SPECIES
Cr 52.00 Cr.upf
Mo 95.94 Mo.upf
Os 190.23 Os.upf
CELL_PARAMETERS angstrom
6.777 0.000 0.000
0.000 6.777 0.000
0.000 0.000 5.097
ATOMIC_POSITIONS angstrom
Cr 1.634 5.083 0.637
Cr 1.694 1.634 4.460
Cr 1.694 1.754 1.911
Cr 1.754 5.083 3.186
Cr 5.023 1.694 3.186
Cr 5.083 5.023 1.911
Cr 5.083 5.143 4.460
Cr 5.143 1.694 0.637
Mo 0.000 0.000 2.548
Mo 0.000 3.389 3.823
Mo 3.389 0.000 1.274
Mo 3.389 3.389 0.000
Os 0.000 0.000 0.000
Os 0.000 3.389 1.274
Os 3.389 0.000 3.823
Os 3.389 3.389 2.548
! Magnetic moment   0.00 Bohr magnetons per cell
! Space-group type   I-42d



(ii)
! PBE Cr2MoOs, optimized geometry; values from VASP
&SYSTEM
  ibrav = 0, nat = 8, ntyp = 3
/
ATOMIC_SPECIES
Cr 52.00 Cr.upf
Mo 95.94 Mo.upf
Os 190.23 Os.upf
CELL_PARAMETERS angstrom
3.002 0.000 0.000
0.000 4.337 0.000
0.000 0.000 8.372
ATOMIC_POSITIONS angstrom
Cr 0.000 0.000 2.081
Cr 0.000 0.000 6.291
Cr 1.501 2.168 2.081
Cr 1.501 2.168 6.291
Mo 0.000 2.168 4.186
Mo 1.501 0.000 4.186
Os 0.000 2.168 0.000
Os 1.501 0.000 0.000
! Magnetic moment   0.01 Bohr magnetons per cell
! Space-group type   Cmmm



(iii)
! PBE Cr2MoOs, optimized geometry; values from VASP
&SYSTEM
  ibrav = 0, nat = 4, ntyp = 3
/
ATOMIC_SPECIES
Cr 52.00 Cr.upf
Mo 95.94 Mo.upf
Os 190.23 Os.upf
CELL_PARAMETERS angstrom
2.908 0.000 0.000
0.000 2.908 0.000
0.000 0.000 6.341
ATOMIC_POSITIONS angstrom
Cr 0.000 0.000 0.000
Cr 1.454 1.454 1.216
Mo 0.000 0.000 2.932
Os 1.454 1.454 4.706
! Magnetic moment   0.00 Bohr magnetons per cell
! Space-group type   P4mm



(iv)
! PBE Cr2MoOs, optimized geometry; values from VASP
&SYSTEM
  ibrav = 0, nat = 16, ntyp = 3
/
ATOMIC_SPECIES
Cr 52.00 Cr.upf
Mo 95.94 Mo.upf
Os 190.23 Os.upf
CELL_PARAMETERS angstrom
6.035 0.000 0.000
0.000 6.035 0.000
0.000 0.000 6.035
ATOMIC_POSITIONS angstrom
Cr 0.000 0.000 0.000
Cr 0.000 3.018 3.018
Cr 1.509 1.509 1.509
Cr 1.509 4.527 4.527
Cr 3.018 0.000 3.018
Cr 3.018 3.018 0.000
Cr 4.527 1.509 4.527
Cr 4.527 4.527 1.509
Mo 1.509 1.509 4.527
Mo 1.509 4.527 1.509
Mo 4.527 1.509 1.509
Mo 4.527 4.527 4.527
Os 0.000 0.000 3.018
Os 0.000 3.018 0.000
Os 3.018 0.000 0.000
Os 3.018 3.018 3.018
! Magnetic moment   5.30 Bohr magnetons per cell
! Space-group type   F-43m



Most stable structure - (iii); separation to the second - 69 meV/atom.



(i)
! PBE Cr2MoOs, optimized geometry; values from VASP
&SYSTEM
  ibrav = 0, nat = 8, ntyp = 3
/
ATOMIC_SPECIES
Cr 52.00 Cr.upf
Mo 95.94 Mo.upf
Os 190.23 Os.upf
CELL_PARAMETERS angstrom
3.754 0.000 0.000
0.000 3.754 0.000
0.000 0.000 7.737
ATOMIC_POSITIONS angstrom
Cr 0.000 0.000 0.000
Cr 0.000 1.877 1.934
Cr 1.877 0.000 5.803
Cr 1.877 1.877 3.869
Mo 0.000 1.877 5.803
Mo 1.877 0.000 1.934
Os 0.000 0.000 3.869
Os 1.877 1.877 0.000
! Magnetic moment   0.46 Bohr magnetons per cell
! Space-group type   I-4m2



(ii)
! PBE Cr2MoOs, optimized geometry; values from VASP
&SYSTEM
  ibrav = 0, nat = 4, ntyp = 3
/
ATOMIC_SPECIES
Cr 52.00 Cr.upf
Mo 95.94 Mo.upf
Os 190.23 Os.upf
CELL_PARAMETERS angstrom
2.651 0.000 0.000
0.000 4.133 0.000
-0.911 0.000 4.963
ATOMIC_POSITIONS angstrom
Cr 0.299 0.000 1.205
Cr 1.441 0.000 3.758
Mo -0.455 2.066 2.481
Os 1.325 2.066 0.000
! Magnetic moment   0.00 Bohr magnetons per cell
! Space-group type   P2/m



Most stable structure - (ii); separation to the second - 71 meV/atom.



(i)
! PBE Cr2MoOs, optimized geometry; values from VASP
&SYSTEM
  ibrav = 0, nat = 4, ntyp = 3
/
ATOMIC_SPECIES
Cr 52.00 Cr.upf
Mo 95.94 Mo.upf
Os 190.23 Os.upf
CELL_PARAMETERS angstrom
2.699 0.000 0.000
0.000 3.706 0.000
0.000 0.000 5.445
ATOMIC_POSITIONS angstrom
Cr 0.000 0.000 1.308
Cr 0.000 0.000 4.138
Mo 1.350 1.853 2.723
Os 1.350 1.853 0.000
! Magnetic moment   0.00 Bohr magnetons per cell
! Space-group type   Pmmm



(ii)
! PBE Cr2MoOs, optimized geometry; values from VASP
&SYSTEM
  ibrav = 0, nat = 8, ntyp = 3
/
ATOMIC_SPECIES
Cr 52.00 Cr.upf
Mo 95.94 Mo.upf
Os 190.23 Os.upf
CELL_PARAMETERS angstrom
2.976 0.000 0.000
0.000 4.369 0.000
0.000 0.000 8.361
ATOMIC_POSITIONS angstrom
Cr 0.000 0.000 0.000
Cr 0.000 2.184 1.856
Cr 1.488 0.000 1.856
Cr 1.488 2.184 0.000
Mo 0.000 0.000 3.973
Mo 1.488 2.184 3.973
Os 0.000 2.184 6.277
Os 1.488 0.000 6.277
! Magnetic moment   0.00 Bohr magnetons per cell
! Space-group type   Cmm2



(iii)
! PBE Cr2MoOs, optimized geometry; values from VASP
&SYSTEM
  ibrav = 0, nat = 12, ntyp = 3
/
ATOMIC_SPECIES
Cr 52.00 Cr.upf
Mo 95.94 Mo.upf
Os 190.23 Os.upf
CELL_PARAMETERS angstrom
2.745 0.000 0.000
-1.373 2.377 0.000
0.000 0.000 25.154
ATOMIC_POSITIONS angstrom
Cr 0.000 0.000 0.000
Cr 0.000 0.000 6.667
Cr 0.000 1.585 16.769
Cr 0.000 1.585 23.436
Cr 1.373 0.792 8.385
Cr 1.373 0.792 15.051
Mo 0.000 0.000 19.019
Mo 0.000 1.585 10.634
Mo 1.373 0.792 2.250
Os 0.000 0.000 12.917
Os 0.000 1.585 4.532
Os 1.373 0.792 21.302
! Magnetic moment   0.00 Bohr magnetons per cell
! Space-group type   R3m



(iv)
! PBE Cr2MoOs, optimized geometry; values from VASP
&SYSTEM
  ibrav = 0, nat = 4, ntyp = 3
/
ATOMIC_SPECIES
Cr 52.00 Cr.upf
Mo 95.94 Mo.upf
Os 190.23 Os.upf
CELL_PARAMETERS angstrom
2.674 0.000 0.000
0.000 4.116 0.000
-1.114 0.000 4.922
ATOMIC_POSITIONS angstrom
Cr 0.000 0.000 0.000
Cr -0.438 2.058 3.859
Mo 1.652 2.058 1.307
Os 0.574 0.000 2.630
! Magnetic moment   0.00 Bohr magnetons per cell
! Space-group type   Pm



Most stable structure - (iv); separation to the second - 80 meV/atom.



(i)
! PBE Cr2MoOs, optimized geometry; values from VASP
&SYSTEM
  ibrav = 0, nat = 4, ntyp = 3
/
ATOMIC_SPECIES
Cr 52.00 Cr.upf
Mo 95.94 Mo.upf
Os 190.23 Os.upf
CELL_PARAMETERS angstrom
2.722 0.000 0.000
0.000 3.738 0.000
0.000 0.000 5.367
ATOMIC_POSITIONS angstrom
Cr 0.000 0.000 0.000
Cr 1.361 1.869 1.270
Mo 0.000 0.000 2.630
Os 1.361 1.869 4.119
! Magnetic moment   0.00 Bohr magnetons per cell
! Space-group type   Pmm2



(ii)
! PBE Cr2MoOs, optimized geometry; values from VASP
&SYSTEM
  ibrav = 0, nat = 12, ntyp = 3
/
ATOMIC_SPECIES
Cr 52.00 Cr.upf
Mo 95.94 Mo.upf
Os 190.23 Os.upf
CELL_PARAMETERS angstrom
2.669 0.000 0.000
-1.334 2.311 0.000
0.000 0.000 26.833
ATOMIC_POSITIONS angstrom
Cr 0.000 0.000 6.617
Cr 0.000 0.000 20.216
Cr 0.000 1.541 11.272
Cr 0.000 1.541 24.505
Cr 1.334 0.770 2.328
Cr 1.334 0.770 15.561
Mo 0.000 0.000 0.000
Mo 0.000 1.541 17.889
Mo 1.334 0.770 8.944
Os 0.000 0.000 13.416
Os 0.000 1.541 4.472
Os 1.334 0.770 22.361
! Magnetic moment   0.00 Bohr magnetons per cell
! Space-group type   R-3m



Most stable structure - (i); separation to the second - 77 meV/atom.